Record 1
The following is a DFT calculation (GGA-PBE) of TbNiRh2 after structural relaxation.

abc: 4.0409 4.0409 3.9302
angles: 90.00 90.00 90.00
Sites, in units of the cell vectors:
1 Tb 0.0000 0.0000 0.0000
2 Ni 0.5000 0.5000 0.0000
3 Rh 0.0000 0.5000 0.5000
4 Rh 0.5000 0.0000 0.5000

Properties
Symmetry = P4/mmm (123)
DOS(E_F) = 4.44 states/eV/f.u.
Formation energy from the elements = -403 meV per atom
Offset from the most stable computed form = 0.148 eV/atom
Crystal system = tetragonal

=====

Record 2
The following is a DFT calculation (GGA-PBE) of CsRb2LiO2 after structural relaxation.

abc: 5.1382 12.4986 4.7116
angles: 90.00 90.00 90.00
Sites, in units of the cell vectors:
1 Cs 0.0000 0.0000 0.0000
2 Cs 0.5000 0.5000 0.5000
3 Rb 0.1333 0.2455 0.5000
4 Rb 0.3667 0.7455 0.0000
5 Rb 0.6333 0.2545 0.0000
6 Rb 0.8667 0.7545 0.5000
7 Li 0.0000 0.5000 0.0000
8 Li 0.5000 0.0000 0.5000
9 O 0.1584 0.3716 0.0000
10 O 0.3416 0.8716 0.5000
11 O 0.6584 0.1284 0.5000
12 O 0.8416 0.6284 0.0000

Properties
Symmetry = Pnnm (58)
E_form (uncorrected) = -1.109 eV/atom
Crystal system = orthorhombic

=====

Record 3
The following is a DFT calculation (GGA-PBE) of CsNb2Al after structural relaxation.

abc: 10.5892 10.5892 10.5892
angles: 153.90 153.90 37.25
Sites, in units of the cell vectors:
1 Cs 0.0000 0.0000 0.0000
2 Cs 0.7500 0.2500 0.5000
3 Nb 0.2745 0.6250 0.1495
4 Nb 0.3750 0.5245 0.6495
5 Nb 0.4755 0.1250 0.8505
6 Nb 0.8750 0.7255 0.3505
7 Al 0.2500 0.7500 0.5000
8 Al 0.5000 0.5000 0.0000

Properties
Symmetry = I-42d (122)
DOS(E_F) = 7.45 states/eV/f.u.
Formation energy from the elements = 1376 meV per atom
Crystal system = tetragonal

=====

Record 4
The following is a DFT calculation (GGA-PBE) of La3PmAu7 after structural relaxation.

abc: 11.3683 11.3683 13.0972
angles: 90.00 90.00 160.18
Sites, in units of the cell vectors:
1 La 0.1386 0.8614 0.5573
2 La 0.1386 0.8614 0.9427
3 La 0.1945 0.8055 0.2500
4 La 0.8055 0.1945 0.7500
5 La 0.8614 0.1386 0.0573
6 La 0.8614 0.1386 0.4427
7 Pm 0.0067 0.9933 0.2500
8 Pm 0.9933 0.0067 0.7500
9 Au 0.2781 0.7219 0.5663
10 Au 0.2781 0.7219 0.9337
11 Au 0.3816 0.6184 0.2500
12 Au 0.4010 0.5990 0.6364
13 Au 0.4010 0.5990 0.8636
14 Au 0.4674 0.5326 0.0844
15 Au 0.4674 0.5326 0.4156
16 Au 0.5326 0.4674 0.5844
17 Au 0.5326 0.4674 0.9156
18 Au 0.5990 0.4010 0.1364
19 Au 0.5990 0.4010 0.3636
20 Au 0.6184 0.3816 0.7500
21 Au 0.7219 0.2781 0.0663
22 Au 0.7219 0.2781 0.4337

Properties
Symmetry = Cmcm (63)
DOS(E_F) = 7.07 states/eV/f.u.
Formation energy from the elements = -737 meV per atom
Crystal system = orthorhombic

=====

Record 5
The following is a DFT calculation (GGA-PBE) of Li2IN2 after structural relaxation.

abc: 4.2083 4.2083 6.4267
angles: 104.24 104.24 57.51
Sites, in units of the cell vectors:
1 Li 0.2446 0.2446 0.2871
2 Li 0.7554 0.7554 0.7129
3 I 0.5000 0.5000 0.0000
4 N 0.0757 0.0757 0.4853
5 N 0.9243 0.9243 0.5147

Properties
Symmetry = C2/m (12)
DOS(E_F) = 1.75 states/eV/f.u.
E_form (uncorrected) = -0.466 eV/atom
Crystal system = monoclinic

=====

Record 6
The following is a DFT calculation (GGA-PBE) of Cs2LaPdRu after structural relaxation.

abc: 5.9833 5.9833 5.1915
angles: 90.00 90.00 90.00
Sites, in units of the cell vectors:
1 Cs 0.0000 0.5000 0.0000
2 Cs 0.5000 0.0000 0.0000
3 La 0.0000 0.0000 0.5000
4 Pd 0.5000 0.5000 0.5000
5 Ru 0.0000 0.0000 0.0000

Properties
Symmetry = P4/mmm (123)
DOS(E_F) = 4.48 states/eV/f.u.
Formation energy from the elements = 656 meV per atom
Crystal system = tetragonal

=====

Record 7
The following is a DFT calculation (GGA-PBE) of AcNiHg after structural relaxation.

abc: 4.8547 4.8547 4.8547
angles: 60.00 60.00 60.00
Sites, in units of the cell vectors:
1 Ac 0.0000 0.0000 0.0000
2 Ni 0.2500 0.2500 0.2500
3 Hg 0.5000 0.5000 0.5000

Properties
Symmetry = F-43m (216)
DOS(E_F) = 2.71 states/eV/f.u.
Formation energy from the elements = -241 meV per atom
Offset from the most stable computed form = 0.149 eV/atom
Crystal system = cubic

=====

Record 8
The following is a DFT calculation (GGA-PBE) of CoReAu2 after structural relaxation.

abc: 5.6824 5.6824 5.6824
angles: 102.09 102.09 125.53
Sites, in units of the cell vectors:
1 Co 0.0000 0.0000 0.0000
2 Co 0.7500 0.2500 0.5000
3 Re 0.2500 0.7500 0.5000
4 Re 0.5000 0.5000 0.0000
5 Au 0.1085 0.6250 0.9835
6 Au 0.3750 0.3585 0.4835
7 Au 0.6415 0.1250 0.0165
8 Au 0.8750 0.8915 0.5165

Properties
Symmetry = I-42d (122)
DOS(E_F) = 8.22 states/eV/f.u.
Formation energy from the elements = 1080 meV per atom
Offset from the most stable computed form = 0.883 eV/atom
Crystal system = tetragonal

=====

Record 9
The following is a DFT calculation (GGA-PBE) of NiRu2Rh after structural relaxation.

abc: 4.2584 4.2584 4.2584
angles: 60.00 60.00 60.00
Sites, in units of the cell vectors:
1 Ni 0.0000 0.0000 0.0000
2 Ru 0.2500 0.2500 0.2500
3 Ru 0.7500 0.7500 0.7500
4 Rh 0.5000 0.5000 0.5000

Properties
Symmetry = Fm-3m (225)
DOS(E_F) = 8.00 states/eV/f.u.
Formation energy from the elements = 428 meV per atom
Offset from the most stable computed form = 0.359 eV/atom
Crystal system = cubic

=====

> What is the formula in the eighth record?

CoReAu2

=====

What did the second record say?
The following is a DFT calculation (GGA-PBE) of CsRb2LiO2 after structural relaxation.

abc: 5.1382 12.4986 4.7116
angles: 90.00 90.00 90.00
Sites, in units of the cell vectors:
1 Cs 0.0000 0.0000 0.0000
2 Cs 0.5000 0.5000 0.5000
3 Rb 0.1333 0.2455 0.5000
4 Rb 0.3667 0.7455 0.0000
5 Rb 0.6333 0.2545 0.0000
6 Rb 0.8667 0.7545 0.5000
7 Li 0.0000 0.5000 0.0000
8 Li 0.5000 0.0000 0.5000
9 O 0.1584 0.3716 0.0000
10 O 0.3416 0.8716 0.5000
11 O 0.6584 0.1284 0.5000
12 O 0.8416 0.6284 0.0000

Properties
Symmetry = Pnnm (58)
E_form (uncorrected) = -1.109 eV/atom
Crystal system = orthorhombic